No. 1
## CaTlSiTeSeF (PBE)

Data for a geometry-optimized CaTlSiTeSeF structure.

- Formation energy without anion corrections: -1.227 eV/atom
- V: 31.013 Å³/atom
- Energy above the lowest structure with this stoichiometry: 36.7 meV per atom

```
data_CaTlSiTeSeF
_chemical_formula_sum 'Ca1 Tl1 Si1 Te1 Se1 F1'
_cell_length_a 5.6269
_cell_length_b 5.6991
_cell_length_c 6.2653
_cell_angle_alpha 72.31
_cell_angle_beta 83.25
_cell_angle_gamma 76.75
_space_group_name_H-M_alt 'P 1'
_space_group_IT_number 1
loop_
_space_group_symop_operation_xyz
'x,y,z'
loop_
_atom_site_label
_atom_site_type_symbol
_atom_site_fract_x
_atom_site_fract_y
_atom_site_fract_z
Ca1 Ca 0.0000 0.0000 0.0000
Tl1 Tl 0.5671 0.5808 0.5146
Si1 Si 0.3089 0.3311 0.2678
Te1 Te 0.0078 0.0380 0.4853
Se1 Se 0.4672 0.1473 0.9744
F1 F 0.0860 0.5773 0.1062
```

***

No. 2
## DyScAgAu (PBE)

Data for a geometry-optimized DyScAgAu structure.

- DOS at the Fermi energy: 2.26 states/eV/f.u.
- Calculated formation energy: -563 meV per atom
- V: 21.717 Å³/atom
- Energy above the lowest structure with this stoichiometry: 0.0 meV per atom

```
data_DyScAgAu
_chemical_formula_sum 'Dy1 Sc1 Ag1 Au1'
_cell_length_a 3.4936
_cell_length_b 3.4936
_cell_length_c 7.1172
_cell_angle_alpha 90.00
_cell_angle_beta 90.00
_cell_angle_gamma 90.00
_space_group_name_H-M_alt 'P 4 m m'
_space_group_IT_number 99
loop_
_space_group_symop_operation_xyz
'x,y,z'
'-y,x,z'
'-x,-y,z'
'y,-x,z'
'-x,y,z'
'y,x,z'
'x,-y,z'
'-y,-x,z'
loop_
_atom_site_label
_atom_site_type_symbol
_atom_site_fract_x
_atom_site_fract_y
_atom_site_fract_z
Dy1 Dy 0.0000 0.0000 0.0000
Sc1 Sc 0.0000 0.0000 0.5101
Ag1 Ag 0.5000 0.5000 0.2794
Au1 Au 0.5000 0.5000 0.7318
```

***

No. 3
## LiCaPuO4 (PBE)

Data for a geometry-optimized LiCaPuO4 structure.

- DOS at the Fermi energy: 6.17 states/eV/f.u.
- Formation energy without anion corrections: -2.663 eV/atom
- V: 15.729 Å³/atom

```
data_LiCaPuO4
_chemical_formula_sum 'Li4 Ca4 Pu4 O16'
_cell_length_a 6.8018
_cell_length_b 6.8386
_cell_length_c 9.4683
_cell_angle_alpha 90.00
_cell_angle_beta 90.00
_cell_angle_gamma 90.00
_space_group_name_H-M_alt 'I m m a'
_space_group_IT_number 74
_space_group_name_Hall '-I 2b 2'
loop_
_atom_site_label
_atom_site_type_symbol
_atom_site_fract_x
_atom_site_fract_y
_atom_site_fract_z
Li1 Li 0.0000 0.2500 0.0775
Ca1 Ca 0.0000 0.0000 0.5000
Pu1 Pu 0.2500 0.2500 0.7500
O1 O 0.0000 0.0459 0.7457
O2 O 0.2391 0.2500 0.5323
```